## P
Material: AgOs5
Method: DFT, GGA-PBE
State: optimized geometry

Calculated values
For the density of states at the Fermi level, the calculation gives 8.9 states/eV/f.u. Its space group is P6/mmm (191). The calculation puts the calculated volume at 16.80 Å³ per atom. Its total magnetization is 0.003 μB per formula unit.

Unit cell a=5.0703 b=5.0703 c=4.5281 alpha=90.00 beta=90.00 gamma=120.00
Fractional coordinates of all 6 atoms:
Ag1 0.0000 0.0000 0.0000
Os1 0.6667 0.3333 0.0000
Os2 0.5000 0.0000 0.5000
Os3 0.0000 0.5000 0.5000
Os4 0.5000 0.5000 0.5000
Os5 0.3333 0.6667 0.0000

## Q
Material: AgOs5
Method: DFT, GGA-PBE
State: optimized geometry

Calculated values
For the density of states at the Fermi level, the calculation gives 5.0 states/eV/f.u. Its space group is Amm2 (38). The calculation puts the calculated volume at 14.71 Å³ per atom. Its total magnetization is 0.001 μB per formula unit.

Unit cell a=7.3364 b=7.3364 c=4.4176 alpha=90.00 beta=90.00 gamma=158.21
Fractional coordinates of all 6 atoms:
Os1 0.6717 0.3283 0.0000
Ag1 0.9989 0.0011 0.0000
Os2 0.8885 0.1115 0.5000
Os3 0.5584 0.4416 0.5000
Os4 0.3274 0.6726 0.0000
Os5 0.2218 0.7782 0.5000

Decreasing stability: Q, P

## P
Material: AgPOs
Method: DFT, GGA-PBE
State: optimized geometry

Calculated values
For the density of states at the Fermi level, the calculation gives 2.3 states/eV/f.u. Its space group is Fmm2 (42). The calculation puts the calculated volume at 16.80 Å³ per atom. Its total magnetization is 0.000 μB per formula unit.

Unit cell a=7.3718 b=7.1261 c=2.8398 alpha=83.61 beta=73.88 gamma=22.51
Fractional coordinates of all 3 atoms:
Os1 0.3149 0.3149 0.6851
Ag1 0.9923 0.9923 0.0077
P1 0.6928 0.6928 0.3072

## Q
Material: AgPOs
Method: DFT, GGA-PBE
State: optimized geometry

Calculated values
For the density of states at the Fermi level, the calculation gives 0.7 states/eV/f.u. Its space group is F-43m (216). The calculation puts the calculated volume at 15.80 Å³ per atom. Its total magnetization is 0.000 μB per formula unit.

Unit cell a=4.0618 b=4.0618 c=4.0618 alpha=60.00 beta=60.00 gamma=60.00
Fractional coordinates of all 3 atoms:
P1 0.7500 0.7500 0.7500
Ag1 0.0000 0.0000 0.0000
Os1 0.5000 0.5000 0.5000

## R
Material: AgPOs
Method: DFT, GGA-PBE
State: optimized geometry

Calculated values
For the density of states at the Fermi level, the calculation gives 1.9 states/eV/f.u. Its space group is P-6m2 (187). The calculation puts the calculated volume at 16.02 Å³ per atom. Its total magnetization is 0.000 μB per formula unit.

Unit cell a=3.9385 b=3.9385 c=3.5787 alpha=90.00 beta=90.00 gamma=120.00
Fractional coordinates of all 3 atoms:
Ag1 0.0000 0.0000 0.0000
Os1 0.6667 0.3333 0.4996
P1 0.3333 0.6667 0.5004

Decreasing stability: R, Q, P

## P
Material: AgPOs
Method: DFT, GGA-PBE
State: optimized geometry

Calculated values
For the density of states at the Fermi level, the calculation gives 1.7 states/eV/f.u. Its space group is P3m1 (156). The calculation puts the calculated volume at 16.25 Å³ per atom. Its total magnetization is 0.000 μB per formula unit.

Unit cell a=2.9324 b=2.9324 c=6.5452 alpha=90.00 beta=90.00 gamma=120.00
Fractional coordinates of all 3 atoms:
Ag1 0.0000 0.0000 0.0050
Os1 0.3333 0.6667 0.3769
P1 0.6667 0.3333 0.6181

## Q
Material: AgPOs
Method: DFT, GGA-PBE
State: optimized geometry

Calculated values
For the density of states at the Fermi level, the calculation gives 0.3 states/eV/f.u. Its space group is I4mm (107). The calculation puts the calculated volume at 15.55 Å³ per atom. Its total magnetization is 0.000 μB per formula unit.

Unit cell a=5.5980 b=5.5980 c=5.5980 alpha=148.91 beta=148.91 gamma=44.54
Fractional coordinates of all 3 atoms:
Ag1 0.0046 0.0046 0.0000
P1 0.6966 0.6966 0.0000
Os1 0.2989 0.2989 0.0000

Decreasing stability: Q, P

## P
Material: AgP2Os
Method: DFT, GGA-PBE
State: optimized geometry

Calculated values
For the density of states at the Fermi level, the calculation gives 1.8 states/eV/f.u. Its space group is Imm2 (44). The calculation puts the calculated volume at 16.41 Å³ per atom. Its total magnetization is 0.000 μB per formula unit.

Unit cell a=6.6839 b=6.6839 c=6.6839 alpha=155.14 beta=148.41 gamma=40.61
Fractional coordinates of all 4 atoms:
Os1 0.7853 0.2853 0.5000
Ag1 0.5594 0.5594 0.0000
P1 0.9353 0.9353 0.0000
P2 0.2201 0.7201 0.5000

## Q
Material: AgP2Os
Method: DFT, GGA-PBE
State: optimized geometry

Calculated values
For the density of states at the Fermi level, the calculation gives 3.4 states/eV/f.u. Its space group is R3m (160). The calculation puts the calculated volume at 15.08 Å³ per atom. Its total magnetization is 0.000 μB per formula unit.

Unit cell a=7.7704 b=7.7704 c=7.7704 alpha=22.51 beta=22.51 gamma=22.51
Fractional coordinates of all 4 atoms:
Os1 0.7341 0.7341 0.7341
Ag1 0.5060 0.5060 0.5060
P1 0.9985 0.9985 0.9985
P2 0.2614 0.2614 0.2614

## R
Material: AgP2Os
Method: DFT, GGA-PBE
State: optimized geometry

Calculated values
For the density of states at the Fermi level, the calculation gives 2.8 states/eV/f.u. Its space group is Cmm2 (35). The calculation puts the calculated volume at 16.54 Å³ per atom. Its total magnetization is 0.000 μB per formula unit.

Unit cell a=2.7842 b=2.7842 c=9.5918 alpha=90.00 beta=90.00 gamma=117.17
Fractional coordinates of all 4 atoms:
P1 0.0000 0.0000 0.9561
Os1 0.5000 0.5000 0.7685
P2 0.5000 0.5000 0.2700
Ag1 0.0000 0.0000 0.5054

## S
Material: AgP2Os
Method: DFT, GGA-PBE
State: optimized geometry

Calculated values
For the density of states at the Fermi level, the calculation gives 2.9 states/eV/f.u. Its space group is Pmmm (47). The calculation puts the calculated volume at 15.42 Å³ per atom. Its total magnetization is 0.000 μB per formula unit.

Unit cell a=3.0593 b=5.0763 c=3.9707 alpha=90.00 beta=90.00 gamma=90.00
Fractional coordinates of all 4 atoms:
P1 0.5000 0.5000 0.0000
Ag1 0.5000 0.0000 0.5000
P2 0.0000 0.0000 0.0000
Os1 0.0000 0.5000 0.5000

Decreasing stability: P, Q, R, S

## P
Material: AgP2Os
Method: DFT, GGA-PBE
State: optimized geometry

Calculated values
For the density of states at the Fermi level, the calculation gives 1.7 states/eV/f.u. Its space group is R-3m (166). The calculation puts the calculated volume at 15.39 Å³ per atom. Its total magnetization is 0.000 μB per formula unit.

Unit cell a=8.1012 b=8.1012 c=8.1012 alpha=21.32 beta=21.32 gamma=21.32
Fractional coordinates of all 4 atoms:
Os1 0.7500 0.7500 0.7500
Ag1 0.2500 0.2500 0.2500
P1 0.0100 0.0100 0.0100
P2 0.4900 0.4900 0.4900

## Q
Material: AgP2Os
Method: DFT, GGA-PBE
State: optimized geometry

Calculated values
For the density of states at the Fermi level, the calculation gives 3.2 states/eV/f.u. Its space group is P4/mmm (123). The calculation puts the calculated volume at 14.70 Å³ per atom. Its total magnetization is 0.000 μB per formula unit.

Unit cell a=4.4140 b=4.4140 c=3.0176 alpha=90.01 beta=90.01 gamma=90.05
Fractional coordinates of all 4 atoms:
P1 0.0000 0.0000 0.0000
Ag1 0.5000 0.0000 0.5000
Os1 0.0000 0.5000 0.5000
P2 0.5000 0.5000 0.0000

Decreasing stability: P, Q

## P
Material: AgP2Os
Method: DFT, GGA-PBE
State: optimized geometry

Calculated values
For the density of states at the Fermi level, the calculation gives 2.4 states/eV/f.u. Its space group is Cmmm (65). The calculation puts the calculated volume at 15.95 Å³ per atom. Its total magnetization is 0.000 μB per formula unit.

Unit cell a=2.8855 b=2.8855 c=8.9038 alpha=90.00 beta=90.00 gamma=120.63
Fractional coordinates of all 4 atoms:
P1 0.0000 0.0000 0.5313
Os1 0.5000 0.5000 0.7500
P2 0.0000 0.0000 0.9687
Ag1 0.5000 0.5000 0.2500

## Q
Material: AgP2Os
Method: DFT, GGA-PBE
State: optimized geometry

Calculated values
For the density of states at the Fermi level, the calculation gives 3.2 states/eV/f.u. Its space group is P2/m (10). The calculation puts the calculated volume at 15.24 Å³ per atom. Its total magnetization is 0.000 μB per formula unit.

Unit cell a=3.0257 b=5.6989 c=5.1689 alpha=43.14 beta=90.00 gamma=90.00
Fractional coordinates of all 4 atoms:
P1 0.5000 0.5000 0.0000
Ag1 0.5000 0.5000 0.5000
P2 0.0000 0.0000 0.0000
Os1 0.0000 0.0000 0.5000

Decreasing stability: P, Q